Below is a relaxed structure of SnSb2S3, with properties calculated at the PBE level. Values from VASP.

Calculated values
* total DFT energy (no corrections): -4.261 eV/atom
* D(E_F): 0.04 states/eV/f.u.
* volume: 163 Å³/f.u.

Cell and atoms, written as Quantum ESPRESSO input:
```
&SYSTEM
  ibrav = 0, nat = 12, ntyp = 3
/
ATOMIC_SPECIES
Sn 118.71 Sn.upf
Sb 121.76 Sb.upf
S 32.06 S.upf
CELL_PARAMETERS angstrom
-3.8550 -0.2002 -0.4750
-0.2183 -6.6584 4.5778
-1.4384 2.9015 10.4498
ATOMIC_POSITIONS crystal
Sn 0.2500 0.7135 0.8174
Sn 0.7500 0.2865 0.1826
Sb 0.2500 0.2250 0.5172
Sb 0.7500 0.7750 0.4828
Sb 0.7500 0.1334 0.9115
Sb 0.2500 0.8666 0.0885
S 0.7500 0.9379 0.6456
S 0.2500 0.0621 0.3544
S 0.7500 0.4223 0.3883
S 0.2500 0.5777 0.6117
S 0.2500 0.3374 0.9560
S 0.7500 0.6626 0.0440
```